Entry from the Alexandria database: a relaxed structure of MnCo2O3 (PBE with a Hubbard U).

## Properties
For the electronic total energy, the calculation gives -0.4855 Ry per atom.

Unit cell a=4.393 b=6.166 c=5.344 alpha=106.64 beta=114.26 gamma=90.00
Atoms (fractional coordinates):
Mn 0.999 0.750 0.000
Mn 0.001 0.250 0.000
Co 0.666 0.583 0.334
Co 0.669 0.083 0.334
Co 0.331 0.917 0.666
Co 0.334 0.417 0.666
O 0.500 0.250 0.000
O 0.500 0.750 0.000
O 0.173 0.088 0.349
O 0.824 0.412 0.651
O 0.176 0.588 0.349
O 0.827 0.912 0.651